[1]
# Pr2NdI8 (PBE, relaxed)
data_Pr2NdI8
_chemical_formula_sum 'Pr2 Nd1 I8'
_symmetry_space_group_name_H-M 'P 1'
_symmetry_Int_Tables_number 1
_cell_length_a 9.9358
_cell_length_b 9.9358
_cell_length_c 6.6185
_cell_angle_alpha 90.31
_cell_angle_beta 90.31
_cell_angle_gamma 71.10
loop_
_symmetry_equiv_pos_as_xyz
'x,y,z'
loop_
_atom_site_label
_atom_site_fract_x
_atom_site_fract_y
_atom_site_fract_z
Pr1 0.1995 0.1995 0.2017
Pr2 0.8005 0.8005 0.7983
Nd1 0.0000 0.0000 0.5000
I1 0.1237 0.7147 0.7530
I2 0.1804 0.1804 0.7186
I3 0.2853 0.8763 0.2470
I4 0.3812 0.3812 0.2480
I5 0.6188 0.6188 0.7520
I6 0.7147 0.1237 0.7530
I7 0.8196 0.8196 0.2814
I8 0.8763 0.2853 0.2470
# ΔE_f (raw): -1316.4 kJ/mol of formula units
# Crystal system: monoclinic
# Space group: C2/m (12)

[2]
# PrNdI (PBE, relaxed)
data_PrNdI
_chemical_formula_sum 'Pr1 Nd1 I1'
_symmetry_space_group_name_H-M 'P 1'
_symmetry_Int_Tables_number 1
_cell_length_a 3.9553
_cell_length_b 3.9553
_cell_length_c 7.9217
_cell_angle_alpha 90.00
_cell_angle_beta 90.00
_cell_angle_gamma 120.00
loop_
_symmetry_equiv_pos_as_xyz
'x,y,z'
loop_
_atom_site_label
_atom_site_fract_x
_atom_site_fract_y
_atom_site_fract_z
Pr1 0.0000 0.0000 0.0000
Nd1 0.6667 0.3333 0.3580
I1 0.3333 0.6667 0.6760
# Fermi-level density of states: 3.71 states/eV per cell
# ΔE_f (raw): -161.5 kJ/mol of formula units
# ΔE to the lowest computed polymorph: 0 meV per atom
# Crystal system: trigonal
# Space group: P3m1 (156)

[3]
# PrNdI2 (PBE, relaxed)
data_PrNdI2
_chemical_formula_sum 'Pr1 Nd1 I2'
_symmetry_space_group_name_H-M 'P 1'
_symmetry_Int_Tables_number 1
_cell_length_a 5.5283
_cell_length_b 5.5283
_cell_length_c 3.9172
_cell_angle_alpha 90.00
_cell_angle_beta 90.00
_cell_angle_gamma 90.00
loop_
_symmetry_equiv_pos_as_xyz
'x,y,z'
loop_
_atom_site_label
_atom_site_fract_x
_atom_site_fract_y
_atom_site_fract_z
Pr1 0.0000 0.0000 0.0000
Nd1 0.5000 0.5000 0.0000
I1 0.0000 0.5000 0.5000
I2 0.5000 0.0000 0.5000
# Fermi-level density of states: 2.06 states/eV per cell
# ΔE_f (raw): -315.8 kJ/mol of formula units
# ΔE to the lowest computed polymorph: 65 meV per atom
# Crystal system: tetragonal
# Space group: P4/mmm (123)

[4]
# Pr2NdI (PBE, relaxed)
data_Pr2NdI
_chemical_formula_sum 'Pr2 Nd1 I1'
_symmetry_space_group_name_H-M 'P 1'
_symmetry_Int_Tables_number 1
_cell_length_a 3.7544
_cell_length_b 3.7544
_cell_length_c 9.8957
_cell_angle_alpha 90.00
_cell_angle_beta 90.00
_cell_angle_gamma 90.00
loop_
_symmetry_equiv_pos_as_xyz
'x,y,z'
loop_
_atom_site_label
_atom_site_fract_x
_atom_site_fract_y
_atom_site_fract_z
Pr1 0.0000 0.0000 0.2404
Pr2 0.0000 0.0000 0.7596
Nd1 0.5000 0.5000 0.5000
I1 0.5000 0.5000 0.0000
# Fermi-level density of states: 4.17 states/eV per cell
# ΔE_f (raw): -137.9 kJ/mol of formula units
# ΔE to the lowest computed polymorph: 35 meV per atom
# Crystal system: tetragonal
# Space group: P4/mmm (123)

[5]
# PrNdI6 (PBE, relaxed)
data_PrNdI6
_chemical_formula_sum 'Pr1 Nd1 I6'
_symmetry_space_group_name_H-M 'P 1'
_symmetry_Int_Tables_number 1
_cell_length_a 8.4237
_cell_length_b 8.4237
_cell_length_c 8.4237
_cell_angle_alpha 55.30
_cell_angle_beta 55.30
_cell_angle_gamma 55.30
loop_
_symmetry_equiv_pos_as_xyz
'x,y,z'
loop_
_atom_site_label
_atom_site_fract_x
_atom_site_fract_y
_atom_site_fract_z
Pr1 0.0000 0.0000 0.0000
Nd1 0.5000 0.5000 0.5000
I1 0.0864 0.4156 0.7488
I2 0.2512 0.9136 0.5844
I3 0.4156 0.7488 0.0864
I4 0.5844 0.2512 0.9136
I5 0.7488 0.0864 0.4156
I6 0.9136 0.5844 0.2512
# Fermi-level density of states: 0.00 states/eV per cell
# ΔE_f (raw): -1047.5 kJ/mol of formula units
# ΔE to the lowest computed polymorph: 19 meV per atom
# Crystal system: trigonal
# Space group: R-3 (148)

[6]
# PrNdI2 (PBE, relaxed)
data_PrNdI2
_chemical_formula_sum 'Pr1 Nd1 I2'
_symmetry_space_group_name_H-M 'P 1'
_symmetry_Int_Tables_number 1
_cell_length_a 10.0511
_cell_length_b 10.0511
_cell_length_c 10.0511
_cell_angle_alpha 22.45
_cell_angle_beta 22.45
_cell_angle_gamma 22.45
loop_
_symmetry_equiv_pos_as_xyz
'x,y,z'
loop_
_atom_site_label
_atom_site_fract_x
_atom_site_fract_y
_atom_site_fract_z
Pr1 0.0000 0.0000 0.0000
Nd1 0.8368 0.8368 0.8368
I1 0.2515 0.2515 0.2515
I2 0.4192 0.4192 0.4192
# Fermi-level density of states: 1.91 states/eV per cell
# ΔE_f (raw): -341.0 kJ/mol of formula units
# ΔE to the lowest computed polymorph: 0 meV per atom
# Crystal system: trigonal
# Space group: R3m (160)

[7]
# PrNdI (PBE, relaxed)
data_PrNdI
_chemical_formula_sum 'Pr2 Nd2 I2'
_symmetry_space_group_name_H-M 'P 1'
_symmetry_Int_Tables_number 1
_cell_length_a 10.2610
_cell_length_b 10.2610
_cell_length_c 10.2610
_cell_angle_alpha 28.51
_cell_angle_beta 28.51
_cell_angle_gamma 28.51
loop_
_symmetry_equiv_pos_as_xyz
'x,y,z'
loop_
_atom_site_label
_atom_site_fract_x
_atom_site_fract_y
_atom_site_fract_z
Pr1 0.1229 0.1229 0.1229
Pr2 0.8771 0.8771 0.8771
Nd1 0.2950 0.2950 0.2950
Nd2 0.7050 0.7050 0.7050
I1 0.4069 0.4069 0.4069
I2 0.5931 0.5931 0.5931
# Fermi-level density of states: 5.96 states/eV per cell
# ΔE_f (raw): -70.9 kJ/mol of formula units
# ΔE to the lowest computed polymorph: 313 meV per atom
# Crystal system: trigonal
# Space group: R-3m (166)

[8]
# Pr2NdI (PBE, relaxed)
data_Pr2NdI
_chemical_formula_sum 'Pr2 Nd1 I1'
_symmetry_space_group_name_H-M 'P 1'
_symmetry_Int_Tables_number 1
_cell_length_a 12.2389
_cell_length_b 12.2389
_cell_length_c 12.2389
_cell_angle_alpha 17.41
_cell_angle_beta 17.41
_cell_angle_gamma 17.41
loop_
_symmetry_equiv_pos_as_xyz
'x,y,z'
loop_
_atom_site_label
_atom_site_fract_x
_atom_site_fract_y
_atom_site_fract_z
Pr1 0.0954 0.0954 0.0954
Pr2 0.9046 0.9046 0.9046
Nd1 0.0000 0.0000 0.0000
I1 0.5000 0.5000 0.5000
# Fermi-level density of states: 6.03 states/eV per cell
# ΔE_f (raw): -62.5 kJ/mol of formula units
# ΔE to the lowest computed polymorph: 231 meV per atom
# Crystal system: trigonal
# Space group: R-3m (166)

[9]
# PrNdI6 (PBE, relaxed)
data_PrNdI6
_chemical_formula_sum 'Pr1 Nd1 I6'
_symmetry_space_group_name_H-M 'P 1'
_symmetry_Int_Tables_number 1
_cell_length_a 8.2099
_cell_length_b 8.2099
_cell_length_c 7.7357
_cell_angle_alpha 98.32
_cell_angle_beta 98.32
_cell_angle_gamma 123.78
loop_
_symmetry_equiv_pos_as_xyz
'x,y,z'
loop_
_atom_site_label
_atom_site_fract_x
_atom_site_fract_y
_atom_site_fract_z
Pr1 0.0000 0.0000 0.0000
Nd1 0.5000 0.5000 0.5000
I1 0.1011 0.4020 0.2516
I2 0.2511 0.2511 0.7495
I3 0.4020 0.1011 0.2516
I4 0.5980 0.8989 0.7484
I5 0.7489 0.7489 0.2505
I6 0.8989 0.5980 0.7484
# Fermi-level density of states: 0.00 states/eV per cell
# ΔE_f (raw): -1062.4 kJ/mol of formula units
# ΔE to the lowest computed polymorph: 0 meV per atom
# Crystal system: monoclinic
# Space group: C2/m (12)

[10]
# PrNdI (PBE, relaxed)
data_PrNdI
_chemical_formula_sum 'Pr1 Nd1 I1'
_symmetry_space_group_name_H-M 'P 1'
_symmetry_Int_Tables_number 1
_cell_length_a 7.7550
_cell_length_b 7.7550
_cell_length_c 7.7550
_cell_angle_alpha 151.76
_cell_angle_beta 151.76
_cell_angle_gamma 40.36
loop_
_symmetry_equiv_pos_as_xyz
'x,y,z'
loop_
_atom_site_label
_atom_site_fract_x
_atom_site_fract_y
_atom_site_fract_z
Pr1 0.0000 0.0000 0.0000
Nd1 0.6776 0.6776 0.0000
I1 0.3372 0.3372 0.0000
# Fermi-level density of states: 3.91 states/eV per cell
# ΔE_f (raw): -139.9 kJ/mol of formula units
# ΔE to the lowest computed polymorph: 75 meV per atom
# Crystal system: tetragonal
# Space group: I4mm (107)

[11]
# PrNdPtI (PBE, relaxed)
data_PrNdPtI
_chemical_formula_sum 'Pr1 Nd1 Pt1 I1'
_symmetry_space_group_name_H-M 'P 1'
_symmetry_Int_Tables_number 1
_cell_length_a 8.5484
_cell_length_b 8.5484
_cell_length_c 8.5484
_cell_angle_alpha 29.03
_cell_angle_beta 29.03
_cell_angle_gamma 29.03
loop_
_symmetry_equiv_pos_as_xyz
'x,y,z'
loop_
_atom_site_label
_atom_site_fract_x
_atom_site_fract_y
_atom_site_fract_z
Pr1 0.0000 0.0000 0.0000
Nd1 0.2095 0.2095 0.2095
Pt1 0.6041 0.6041 0.6041
I1 0.7736 0.7736 0.7736
# Fermi-level density of states: 3.16 states/eV per cell
# ΔE_f (raw): -426.8 kJ/mol of formula units
# Crystal system: trigonal
# Space group: R3m (160)

[12]
# PrNdRhI (PBE, relaxed)
data_PrNdRhI
_chemical_formula_sum 'Pr1 Nd1 Rh1 I1'
_symmetry_space_group_name_H-M 'P 1'
_symmetry_Int_Tables_number 1
_cell_length_a 8.5754
_cell_length_b 8.5754
_cell_length_c 8.5754
_cell_angle_alpha 28.24
_cell_angle_beta 28.24
_cell_angle_gamma 28.24
loop_
_symmetry_equiv_pos_as_xyz
'x,y,z'
loop_
_atom_site_label
_atom_site_fract_x
_atom_site_fract_y
_atom_site_fract_z
Pr1 0.0000 0.0000 0.0000
Nd1 0.7902 0.7902 0.7902
Rh1 0.3960 0.3960 0.3960
I1 0.2268 0.2268 0.2268
# Fermi-level density of states: 0.69 states/eV per cell
# ΔE_f (raw): -358.8 kJ/mol of formula units
# Crystal system: trigonal
# Space group: R3m (160)

[13]
# PrNdSI (PBE, relaxed)
data_PrNdSI
_chemical_formula_sum 'Pr1 Nd1 S1 I1'
_symmetry_space_group_name_H-M 'P 1'
_symmetry_Int_Tables_number 1
_cell_length_a 8.3170
_cell_length_b 8.3170
_cell_length_c 8.3170
_cell_angle_alpha 28.36
_cell_angle_beta 28.36
_cell_angle_gamma 28.36
loop_
_symmetry_equiv_pos_as_xyz
'x,y,z'
loop_
_atom_site_label
_atom_site_fract_x
_atom_site_fract_y
_atom_site_fract_z
Pr1 0.0000 0.0000 0.0000
Nd1 0.7968 0.7968 0.7968
S1 0.3988 0.3988 0.3988
I1 0.2298 0.2298 0.2298
# Fermi-level density of states: 3.13 states/eV per cell
# ΔE_f (raw): -563.1 kJ/mol of formula units
# Crystal system: trigonal
# Space group: R3m (160)

[14]
# PrNdSbI (PBE, relaxed)
data_PrNdSbI
_chemical_formula_sum 'Pr1 Nd1 Sb1 I1'
_symmetry_space_group_name_H-M 'P 1'
_symmetry_Int_Tables_number 1
_cell_length_a 5.5386
_cell_length_b 5.5386
_cell_length_c 5.5386
_cell_angle_alpha 60.00
_cell_angle_beta 60.00
_cell_angle_gamma 60.00
loop_
_symmetry_equiv_pos_as_xyz
'x,y,z'
loop_
_atom_site_label
_atom_site_fract_x
_atom_site_fract_y
_atom_site_fract_z
Pr1 0.0000 0.0000 0.0000
Nd1 0.5000 0.5000 0.5000
Sb1 0.7500 0.7500 0.7500
I1 0.2500 0.2500 0.2500
# Fermi-level density of states: 3.60 states/eV per cell
# ΔE_f (raw): -379.3 kJ/mol of formula units
# Crystal system: cubic
# Space group: F-43m (216)

[15]
# PrNdSiI (PBE, relaxed)
data_PrNdSiI
_chemical_formula_sum 'Pr1 Nd1 Si1 I1'
_symmetry_space_group_name_H-M 'P 1'
_symmetry_Int_Tables_number 1
_cell_length_a 8.2981
_cell_length_b 8.2981
_cell_length_c 8.2981
_cell_angle_alpha 30.04
_cell_angle_beta 30.04
_cell_angle_gamma 30.04
loop_
_symmetry_equiv_pos_as_xyz
'x,y,z'
loop_
_atom_site_label
_atom_site_fract_x
_atom_site_fract_y
_atom_site_fract_z
Pr1 0.0000 0.0000 0.0000
Nd1 0.7983 0.7983 0.7983
Si1 0.4007 0.4007 0.4007
I1 0.2302 0.2302 0.2302
# Fermi-level density of states: 2.77 states/eV per cell
# ΔE_f (raw): -360.9 kJ/mol of formula units
# Crystal system: trigonal
# Space group: R3m (160)

[16]
# PrNdTeI (PBE, relaxed)
data_PrNdTeI
_chemical_formula_sum 'Pr1 Nd1 Te1 I1'
_symmetry_space_group_name_H-M 'P 1'
_symmetry_Int_Tables_number 1
_cell_length_a 7.8144
_cell_length_b 7.8144
_cell_length_c 7.8144
_cell_angle_alpha 34.53
_cell_angle_beta 34.53
_cell_angle_gamma 34.53
loop_
_symmetry_equiv_pos_as_xyz
'x,y,z'
loop_
_atom_site_label
_atom_site_fract_x
_atom_site_fract_y
_atom_site_fract_z
Pr1 0.0000 0.0000 0.0000
Nd1 0.5305 0.5305 0.5305
Te1 0.2642 0.2642 0.2642
I1 0.7660 0.7660 0.7660
# Fermi-level density of states: 1.92 states/eV per cell
# ΔE_f (raw): -426.3 kJ/mol of formula units
# ΔE to the lowest computed polymorph: 34 meV per atom
# Crystal system: trigonal
# Space group: R3m (160)

[17]
# PrNdTeI (PBE, relaxed)
data_PrNdTeI
_chemical_formula_sum 'Pr1 Nd1 Te1 I1'
_symmetry_space_group_name_H-M 'P 1'
_symmetry_Int_Tables_number 1
_cell_length_a 5.5064
_cell_length_b 5.5064
_cell_length_c 5.5064
_cell_angle_alpha 60.00
_cell_angle_beta 60.00
_cell_angle_gamma 60.00
loop_
_symmetry_equiv_pos_as_xyz
'x,y,z'
loop_
_atom_site_label
_atom_site_fract_x
_atom_site_fract_y
_atom_site_fract_z
Pr1 0.0000 0.0000 0.0000
Nd1 0.5000 0.5000 0.5000
Te1 0.2500 0.2500 0.2500
I1 0.7500 0.7500 0.7500
# Fermi-level density of states: 2.94 states/eV per cell
# ΔE_f (raw): -439.6 kJ/mol of formula units
# ΔE to the lowest computed polymorph: 0 meV per atom
# Crystal system: cubic
# Space group: F-43m (216)

[18]
# Nd2PtI (PBE, relaxed)
data_Nd2PtI
_chemical_formula_sum 'Nd2 Pt1 I1'
_symmetry_space_group_name_H-M 'P 1'
_symmetry_Int_Tables_number 1
_cell_length_a 8.4704
_cell_length_b 8.4704
_cell_length_c 8.4704
_cell_angle_alpha 29.26
_cell_angle_beta 29.26
_cell_angle_gamma 29.26
loop_
_symmetry_equiv_pos_as_xyz
'x,y,z'
loop_
_atom_site_label
_atom_site_fract_x
_atom_site_fract_y
_atom_site_fract_z
Nd1 0.2288 0.2288 0.2288
Nd2 0.7712 0.7712 0.7712
Pt1 0.5000 0.5000 0.5000
I1 0.0000 0.0000 0.0000
# Fermi-level density of states: 2.90 states/eV per cell
# ΔE_f (raw): -432.1 kJ/mol of formula units
# ΔE to the lowest computed polymorph: 0 meV per atom
# Crystal system: trigonal
# Space group: R-3m (166)

[19]
# Nd4Pt2I5 (PBE, relaxed)
data_Nd4Pt2I5
_chemical_formula_sum 'Nd4 Pt2 I5'
_symmetry_space_group_name_H-M 'P 1'
_symmetry_Int_Tables_number 1
_cell_length_a 15.1385
_cell_length_b 15.1385
_cell_length_c 15.1385
_cell_angle_alpha 164.36
_cell_angle_beta 146.15
_cell_angle_gamma 37.49
loop_
_symmetry_equiv_pos_as_xyz
'x,y,z'
loop_
_atom_site_label
_atom_site_fract_x
_atom_site_fract_y
_atom_site_fract_z
Nd1 0.1428 0.1428 0.0000
Nd2 0.1943 0.5000 0.6943
Nd3 0.8057 0.5000 0.3057
Nd4 0.8572 0.8572 0.0000
Pt1 0.0472 0.0472 0.0000
Pt2 0.9528 0.9528 0.0000
I1 0.0747 0.3268 0.7479
I2 0.4211 0.6732 0.7479
I3 0.5000 0.0000 0.5000
I4 0.5789 0.3268 0.2521
I5 0.9253 0.6732 0.2521
# Fermi-level density of states: 6.84 states/eV per cell
# ΔE_f (raw): -1159.3 kJ/mol of formula units
# ΔE to the lowest computed polymorph: 41 meV per atom
# Crystal system: orthorhombic
# Space group: Immm (71)

[20]
# Nd3PtI2 (PBE, relaxed)
data_Nd3PtI2
_chemical_formula_sum 'Nd3 Pt1 I2'
_symmetry_space_group_name_H-M 'P 1'
_symmetry_Int_Tables_number 1
_cell_length_a 8.4505
_cell_length_b 8.4505
_cell_length_c 8.4505
_cell_angle_alpha 151.40
_cell_angle_beta 136.73
_cell_angle_gamma 52.69
loop_
_symmetry_equiv_pos_as_xyz
'x,y,z'
loop_
_atom_site_label
_atom_site_fract_x
_atom_site_fract_y
_atom_site_fract_z
Nd1 0.0000 0.0000 0.0000
Nd2 0.3764 0.3764 0.0000
Nd3 0.6236 0.6236 0.0000
Pt1 0.5000 0.0000 0.5000
I1 0.1843 0.6843 0.5000
I2 0.8157 0.3157 0.5000
# Fermi-level density of states: 3.60 states/eV per cell
# ΔE_f (raw): -584.8 kJ/mol of formula units
# Crystal system: orthorhombic
# Space group: Immm (71)